No. 1
## Ac6ZnAg (PBE)

Data for a relaxed Ac6ZnAg crystal.

Unit cell a=10.4151 b=10.4151 c=10.4151 alpha=148.76 beta=148.76 gamma=44.76
Element x y z (fractional)
Ac (0.1012, 0.6012, 0.5000)
Ac (0.2489, 0.2489, 0.0000)
Ac (0.3988, 0.8988, 0.5000)
Ac (0.6012, 0.1012, 0.5000)
Ac (0.7511, 0.7511, 0.0000)
Ac (0.8988, 0.3988, 0.5000)
Zn (0.0000, 0.0000, 0.0000)
Ag (0.5000, 0.5000, 0.0000)

Properties
- Theoretical density: 8.417 g/cm3
- Total magnetic moment: 0.000 μB/f.u.
- Final energy: -29.71 eV per cell



No. 2
## AcZnAg (PBE)

Data for a relaxed AcZnAg crystal.

Unit cell a=5.0190 b=5.0190 c=5.0190 alpha=60.00 beta=60.00 gamma=60.00
Element x y z (fractional)
Ac (0.0000, 0.0000, 0.0000)
Zn (0.5000, 0.5000, 0.5000)
Ag (0.7500, 0.7500, 0.7500)

Properties
- Theoretical density: 7.435 g/cm3
- Total magnetic moment: 0.000 μB/f.u.
- Offset from the most stable computed form: 240.3 meV/atom
- Final energy: -8.47 eV per cell



No. 3
## AcZn9Ag3 (PBE)

Data for a relaxed AcZn9Ag3 crystal.

Unit cell a=7.1669 b=7.1669 c=7.0757 alpha=97.30 beta=97.30 gamma=136.72
Element x y z (fractional)
Ac (0.0000, 0.0000, 0.0000)
Zn (0.0040, 0.6444, 0.6402)
Zn (0.2793, 0.5075, 0.7672)
Zn (0.3556, 0.9960, 0.3598)
Zn (0.4925, 0.7207, 0.2328)
Zn (0.5000, 0.5000, 0.5000)
Zn (0.5075, 0.2793, 0.7672)
Zn (0.6444, 0.0040, 0.6402)
Zn (0.7207, 0.4925, 0.2328)
Zn (0.9960, 0.3556, 0.3598)
Ag (0.0000, 0.0000, 0.5000)
Ag (0.0000, 0.5000, 0.0000)
Ag (0.5000, 0.0000, 0.0000)

Properties
- Theoretical density: 8.089 g/cm3
- Total magnetic moment: 0.000 μB/f.u.
- Final energy: -25.64 eV per cell



No. 4
## Ac2ZnAg5 (PBE)

Data for a relaxed Ac2ZnAg5 crystal.

Unit cell a=6.7533 b=6.7533 c=6.7533 alpha=121.02 beta=121.02 gamma=88.24
Element x y z (fractional)
Ac (0.0000, 0.5000, 0.5000)
Ac (0.5000, 0.0000, 0.5000)
Zn (0.2107, 0.2107, 0.0000)
Ag (0.5225, 0.5225, 0.5570)
Ag (0.5225, 0.9655, 0.0000)
Ag (0.9397, 0.9397, 0.0000)
Ag (0.9655, 0.5225, 0.0000)
Ag (0.9655, 0.9655, 0.4430)

Properties
- Theoretical density: 8.203 g/cm3
- Total magnetic moment: 0.000 μB/f.u.
- Offset from the most stable computed form: 138.3 meV/atom
- Final energy: -24.45 eV per cell